Density functional theory data (PBE+U) for a geometry-optimized CrIr2F structure.

Lattice parameters (Å, degrees): 5.317 5.317 5.317 105.39 105.39 117.98
Fractional coordinates of all 8 atoms:
1 Cr 0.000 0.000 0.000
2 Cr 0.750 0.250 0.500
3 Ir 0.115 0.125 0.490
4 Ir 0.375 0.885 0.010
5 Ir 0.635 0.625 0.510
6 Ir 0.875 0.365 0.990
7 F 0.250 0.750 0.500
8 F 0.500 0.500 0.000

Values from the calculation:
space-group type = I-42d, No. 122
total magnetic moment = 0.00 μB/f.u.
energy relative to the lowest polymorph listed for this composition = 129.8 meV/atom